{
  "formula": "RbSn2GeF",
  "functional": "PBE",
  "state": "optimized geometry",
  "vol_a3_per_fu": 147.2,
  "e_form_raw_mev_per_atom": -324,
  "e_above_lowest_polymorph_mev_per_atom": 68.9,
  "magnetic_moment_mub_per_atom": 0.00,
  "spacegroup": "P4/mmm (123)",
  "lattice_angstrom": [[5.912, 0.000, 0.000], [0.000, 5.912, 0.000], [0.000, 0.000, 4.212]],
  "species": ["Rb", "Sn", "Sn", "Ge", "F"],
  "frac_coords": [[0.000, 0.000, 0.000], [0.000, 0.500, 0.500], [0.500, 0.000, 0.500], [0.500, 0.500, 0.500], [0.500, 0.500, 0.000]]
}